Entry 1:
Compound: CsCrPd3
Source: the Alexandria database
Functional: PBE-GGA
Structure: optimized geometry

Calculated values
As for the space-group type: No. 221. For the formation energy, the calculation gives 2.221 eV/atom.

Cell and atoms, written as POSCAR:
```
CsCrPd3
1.0
5.190 0.000 0.000
0.000 5.190 0.000
0.000 0.000 5.190
Cs Cr Pd
1 1 3
Direct
0.000 0.000 0.000 Cs
0.500 0.500 0.500 Cr
0.000 0.000 0.500 Pd
0.000 0.500 0.000 Pd
0.500 0.000 0.000 Pd
```



Entry 2:
Compound: CsCrPd3
Source: the Alexandria database
Functional: PBE-GGA
Structure: optimized geometry

Calculated values
As for the space-group type: No. 221. For the formation energy, the calculation gives 0.603 eV/atom.

Cell and atoms, written as POSCAR:
```
CsCrPd3
1.0
4.935 0.000 0.000
0.000 4.935 0.000
0.000 0.000 4.935
Cs Cr Pd
1 1 3
Direct
0.000 0.000 0.000 Cs
0.500 0.500 0.500 Cr
0.000 0.500 0.500 Pd
0.500 0.000 0.500 Pd
0.500 0.500 0.000 Pd
```



Entry 3:
Compound: Cs2CrPd
Source: the Alexandria database
Functional: PBE-GGA
Structure: optimized geometry

Calculated values
As for the space-group type: No. 225. For the formation energy, the calculation gives 0.897 eV/atom.

Cell and atoms, written as POSCAR:
```
Cs2CrPd
1.0
0.000 4.130 4.130
4.130 0.000 4.130
4.130 4.130 0.000
Cs Cr Pd
2 1 1
Direct
0.250 0.250 0.250 Cs
0.750 0.750 0.750 Cs
0.000 0.000 0.000 Cr
0.500 0.500 0.500 Pd
```



Entry 4:
Compound: Cs2CrPdSe4
Source: the Alexandria database
Functional: PBE-GGA
Structure: optimized geometry

Calculated values
Its uncorrected energy is -4.580 eV per atom. As for the space-group type: No. 70.

Cell and atoms, written as POSCAR:
```
Cs2CrPdSe4
1.0
0.000 7.433 12.663
2.854 0.000 12.663
2.854 7.433 0.000
Cs Cr Pd Se
4 2 2 8
Direct
0.055 0.055 0.695 Cs
0.305 0.305 0.945 Cs
0.695 0.695 0.055 Cs
0.945 0.945 0.305 Cs
0.125 0.125 0.125 Cr
0.875 0.875 0.875 Cr
0.375 0.375 0.375 Pd
0.625 0.625 0.625 Pd
0.052 0.305 0.381 Se
0.237 0.619 0.695 Se
0.305 0.052 0.763 Se
0.381 0.763 0.052 Se
0.619 0.237 0.948 Se
0.695 0.948 0.237 Se
0.763 0.381 0.305 Se
0.948 0.695 0.619 Se
```



Entry 5:
Compound: Cs2PrCrS4
Source: the Alexandria database
Functional: PBE-GGA
Structure: optimized geometry

Calculated values
Its uncorrected energy is -5.197 eV per atom. As for the space-group type: No. 70.

Cell and atoms, written as POSCAR:
```
Cs2PrCrS4
1.0
0.000 7.190 13.030
3.329 0.000 13.030
3.329 7.190 0.000
Cs Pr Cr S
4 2 2 8
Direct
0.056 0.056 0.694 Cs
0.306 0.306 0.944 Cs
0.694 0.694 0.056 Cs
0.944 0.944 0.306 Cs
0.125 0.125 0.125 Pr
0.875 0.875 0.875 Pr
0.375 0.375 0.375 Cr
0.625 0.625 0.625 Cr
0.030 0.624 0.534 S
0.312 0.534 0.624 S
0.376 0.970 0.688 S
0.466 0.688 0.970 S
0.534 0.312 0.030 S
0.624 0.030 0.312 S
0.688 0.466 0.376 S
0.970 0.376 0.466 S
```



Entry 6:
Compound: Cs3Pr3CrS8
Source: the Alexandria database
Functional: PBE-GGA
Structure: optimized geometry

Calculated values
Its uncorrected energy is -5.422 eV per atom. As for the space-group type: No. 166.

Cell and atoms, written as POSCAR:
```
Cs3Pr3CrS8
1.0
4.091 2.362 8.241
-4.091 2.362 8.241
0.000 -4.723 8.241
Cs Pr Cr S
3 3 1 8
Direct
0.000 0.500 0.500 Cs
0.500 0.000 0.500 Cs
0.500 0.500 0.000 Cs
0.000 0.000 0.500 Pr
0.000 0.500 0.000 Pr
0.500 0.000 0.000 Pr
0.500 0.500 0.500 Cr
0.230 0.230 0.230 S
0.265 0.702 0.702 S
0.298 0.298 0.735 S
0.298 0.735 0.298 S
0.702 0.265 0.702 S
0.702 0.702 0.265 S
0.735 0.298 0.298 S
0.770 0.770 0.770 S
```



Entry 7:
Compound: CsCrPt
Source: the Alexandria database
Functional: PBE-GGA
Structure: optimized geometry

Calculated values
As for the space-group type: No. 2. For the formation energy, the calculation gives 0.213 eV/atom.

Cell and atoms, written as POSCAR:
```
CsCrPt
1.0
4.386 0.000 0.000
2.191 3.799 0.000
1.485 0.667 12.256
Cs Cr Pt
2 2 2
Direct
0.239 0.217 0.211 Cs
0.761 0.783 0.789 Cs
0.482 0.487 0.574 Cr
0.518 0.513 0.426 Cr
0.153 0.157 0.555 Pt
0.847 0.843 0.445 Pt
```



Entry 8:
Compound: Cs2CrPt
Source: the Alexandria database
Functional: PBE-GGA
Structure: optimized geometry

Calculated values
As for the space-group type: No. 225. For the formation energy, the calculation gives 0.919 eV/atom.

Cell and atoms, written as POSCAR:
```
Cs2CrPt
1.0
0.000 3.928 3.928
3.928 0.000 3.928
3.928 3.928 0.000
Cs Cr Pt
2 1 1
Direct
0.250 0.250 0.250 Cs
0.750 0.750 0.750 Cs
0.000 0.000 0.000 Cr
0.500 0.500 0.500 Pt
```



Entry 9:
Compound: CsCrPt3
Source: the Alexandria database
Functional: PBE-GGA
Structure: optimized geometry

Calculated values
As for the space-group type: No. 221. For the formation energy, the calculation gives 2.188 eV/atom.

Cell and atoms, written as POSCAR:
```
CsCrPt3
1.0
5.197 0.000 0.000
0.000 5.197 0.000
0.000 0.000 5.197
Cs Cr Pt
1 1 3
Direct
0.000 0.000 0.000 Cs
0.500 0.500 0.500 Cr
0.000 0.000 0.500 Pt
0.000 0.500 0.000 Pt
0.500 0.000 0.000 Pt
```



Entry 10:
Compound: CsCrPt3
Source: the Alexandria database
Functional: PBE-GGA
Structure: optimized geometry

Calculated values
As for the space-group type: No. 221. For the formation energy, the calculation gives 0.694 eV/atom.

Cell and atoms, written as POSCAR:
```
CsCrPt3
1.0
4.825 0.000 0.000
0.000 4.825 0.000
0.000 0.000 4.825
Cs Cr Pt
1 1 3
Direct
0.000 0.000 0.000 Cs
0.500 0.500 0.500 Cr
0.000 0.500 0.500 Pt
0.500 0.000 0.500 Pt
0.500 0.500 0.000 Pt
```



Entry 11:
Compound: CsCr3Pt
Source: the Alexandria database
Functional: PBE-GGA
Structure: optimized geometry

Calculated values
As for the space-group type: No. 221. For the formation energy, the calculation gives 2.958 eV/atom.

Cell and atoms, written as POSCAR:
```
CsCr3Pt
1.0
4.596 0.000 0.000
0.000 4.596 0.000
0.000 0.000 4.596
Cs Cr Pt
1 3 1
Direct
0.000 0.000 0.000 Cs
0.000 0.000 0.500 Cr
0.000 0.500 0.000 Cr
0.500 0.000 0.000 Cr
0.500 0.500 0.500 Pt
```



Entry 12:
Compound: CsCrPt
Source: the Alexandria database
Functional: PBE-GGA
Structure: optimized geometry

Calculated values
As for the space-group type: No. 164. For the formation energy, the calculation gives 0.213 eV/atom.

Cell and atoms, written as POSCAR:
```
CsCrPt
1.0
4.385 0.000 0.000
-2.193 3.798 0.000
0.000 0.000 12.224
Cs Cr Pt
2 2 2
Direct
0.333 0.667 0.210 Cs
0.667 0.333 0.790 Cs
0.000 0.000 0.425 Cr
0.000 0.000 0.575 Cr
0.333 0.667 0.556 Pt
0.667 0.333 0.444 Pt
```